(1)
Entry from OQMD via LeMat-Bulk: a geometry-optimized Pr2In2Ir3Pd structure (GGA-PBE).

Cell lengths 4.6265, 4.6265, 9.1944 Å; angles 90.00, 90.00, 120.00 degrees
Last column: nearest neighbours and their distance in Å.
Sites, in units of the cell vectors:
Pr (0.3333, 0.6667, 0.7481)  7 Ir 3.02-3.05, 1 Pd 3.13
Pr (0.6667, 0.3333, 0.2560)  5 Ir 3.05-3.21, 3 Pd 3.08
Ir (0.6667, 0.3333, 0.5949)  3 In 2.81, 4 Ir 2.86-3.14, 4 Pr 3.02-3.12
Ir (0.6667, 0.3333, 0.9065)  3 In 2.78, 1 Ir 2.86, 3 Pr 3.04
Ir (0.3333, 0.6667, 0.4161)  3 In 2.78, 1 Pd 3.01, 4 Pr 3.05
In (0.0000, 0.0000, 0.9921)  3 Ir 2.78, 3 Pd 2.81
In (0.0000, 0.0000, 0.4983)  6 Ir 2.78-2.81
Pd (0.3333, 0.6667, 0.0882)  3 In 2.81, 4 Ir 3.01-3.15, 4 Pr 3.08-3.13

Summary:
The value obtained for the calculated total energy is -50.3 eV/f.u. Its density is 11.64 Mg/m³.

(2)
Entry from OQMD via LeMat-Bulk: a geometry-optimized Tb3In3IrPd2 structure (GGA-PBE).

Cell lengths 7.6204, 7.6204, 3.9502 Å; angles 90.00, 90.00, 120.00 degrees
Last column: nearest neighbours and their distance in Å.
Sites, in units of the cell vectors:
In (0.0000, 0.2570, 0.5000)  2 Ir 2.78, 2 Pd 2.88
In (0.7430, 0.7430, 0.5000)  2 Ir 2.78, 2 Pd 2.88
In (0.2570, 0.0000, 0.5000)  2 Ir 2.78, 2 Pd 2.88
Tb (0.0000, 0.5995, 0.0000)  4 Pd 3.05, 1 Ir 3.05, 6 In 3.27-3.33
Tb (0.4005, 0.4005, 0.0000)  1 Ir 3.05, 4 Pd 3.05, 6 In 3.27-3.33
Tb (0.5995, 0.0000, 0.0000)  1 Ir 3.05, 4 Pd 3.05, 6 In 3.27-3.33
Pd (0.6667, 0.3333, 0.5000)  3 In 2.88, 6 Tb 3.05
Pd (0.3333, 0.6667, 0.5000)  3 In 2.88, 6 Tb 3.05
Ir (0.0000, 0.0000, 0.0000)  6 In 2.78, 3 Tb 3.05

Summary:
The value obtained for the calculated total energy is -48.2 eV/f.u. Its density is 10.25 Mg/m³.

(3)
Entry from OQMD via LeMat-Bulk: a geometry-optimized Tb2YIn3Ir2Pd structure (GGA-PBE).

Cell lengths 3.8936, 7.6233, 7.6233 Å; angles 120.26, 90.00, 90.00 degrees
Last column: nearest neighbours and their distance in Å.
Sites, in units of the cell vectors:
Tb (0.0000, 0.5883, 0.0005)  4 Ir 3.00, 1 Pd 3.13, 2 In 3.18
Tb (0.0000, 0.0005, 0.5883)  4 Ir 3.00, 1 Pd 3.13, 2 In 3.18
Pd (0.0000, 0.9983, 0.9983)  6 In 2.77
Y (0.0000, 0.4112, 0.4112)  4 Ir 3.03, 1 Pd 3.13, 6 In 3.16-3.35
In (0.5000, 0.2591, 0.0020)  2 Pd 2.77, 2 Ir 2.86
In (0.5000, 0.7387, 0.7387)  2 Pd 2.77, 2 Ir 2.87
In (0.5000, 0.0020, 0.2591)  2 Pd 2.77, 2 Ir 2.86
Ir (0.5000, 0.3326, 0.6691)  3 In 2.86-2.87, 4 Tb 3.00, 2 Y 3.03
Ir (0.5000, 0.6691, 0.3326)  3 In 2.86-2.87, 4 Tb 3.00, 2 Y 3.03

Summary:
The value obtained for the calculated total energy is -53.6 eV/f.u. Its density is 10.55 Mg/m³.

(4)
Entry from OQMD via LeMat-Bulk: a geometry-optimized Tm3In3Ir2Pd structure (GGA-PBE).

Cell lengths 7.5583, 7.5583, 3.8280 Å; angles 90.00, 90.00, 120.00 degrees
Last column: nearest neighbours and their distance in Å.
Sites, in units of the cell vectors:
Ir (0.6667, 0.3333, 0.5000)  3 In 2.83, 6 Tm 2.98
Ir (0.3333, 0.6667, 0.5000)  3 In 2.83, 6 Tm 2.98
In (0.2618, 0.2618, 0.5000)  2 Pd 2.75, 2 Ir 2.83
In (0.7382, 0.0000, 0.5000)  2 Pd 2.75, 2 Ir 2.83
In (0.0000, 0.7382, 0.5000)  2 Pd 2.75, 2 Ir 2.83
Pd (0.0000, 0.0000, 0.0000)  6 In 2.75
Tm (0.4101, 0.0000, 0.0000)  4 Ir 2.98, 1 Pd 3.10, 6 In 3.13-3.32
Tm (0.0000, 0.4101, 0.0000)  4 Ir 2.98, 1 Pd 3.10, 6 In 3.13-3.32
Tm (0.5899, 0.5899, 0.0000)  4 Ir 2.98, 1 Pd 3.10, 6 In 3.13-3.32

Summary:
The value obtained for the calculated total energy is -51.3 eV/f.u. Its density is 11.77 Mg/m³.

| no. | magnetic moment (μB/f.u.) |
| --- | --- |
| 1 | 0.0 |
| 2 | 0.0 |
| 3 | 0.0 |
| 4 | 0.0 |